Sc2AlTe after structural relaxation, computed with GGA-PBE.

## Properties
raw formation energy = -1.57 eV/f.u.
raw total energy = -0.3881 Ry per atom

Structure (CIF):
```
data_Sc2AlTe
_space_group_name_H-M_alt 'P 1'
_space_group_IT_number 1
_space_group_name_Hall 'P 1'
_cell_length_a 5.0131
_cell_length_b 5.0131
_cell_length_c 5.0131
_cell_angle_alpha 60.00
_cell_angle_beta 60.00
_cell_angle_gamma 60.00
loop_
_atom_site_label
_atom_site_type_symbol
_atom_site_fract_x
_atom_site_fract_y
_atom_site_fract_z
_atom_site_occupancy
Sc1 Sc 0.2500 0.2500 0.2500 1
Sc2 Sc 0.7500 0.7500 0.7500 1
Te1 Te 0.5000 0.5000 0.5000 1
Al1 Al 0.0000 0.0000 0.0000 1
```